Entry 1
Density functional theory data (PBE) for a relaxed SrW crystal.

Unit cell a=5.8984 b=5.8984 c=5.8984 alpha=30.00 beta=30.00 gamma=30.00
Atoms (fractional coordinates):
1 Sr 0.0000 0.0000 0.0000
2 W 0.5000 0.5000 0.5000



Entry 2
Density functional theory data (PBE) for a relaxed SrW crystal.

Unit cell a=6.5609 b=6.5609 c=6.4584 alpha=90.00 beta=90.00 gamma=90.00
Atoms (fractional coordinates):
1 Sr 0.1798 0.1798 0.0000
2 Sr 0.3202 0.6798 0.5000
3 Sr 0.6798 0.3202 0.5000
4 Sr 0.8202 0.8202 0.0000
5 W 0.1185 0.1185 0.5000
6 W 0.3815 0.6185 0.0000
7 W 0.6185 0.3815 0.0000
8 W 0.8815 0.8815 0.5000



Entry 3
Density functional theory data (PBE) for a relaxed SrW crystal.

Unit cell a=9.2533 b=9.2533 c=9.2533 alpha=26.84 beta=26.84 gamma=26.84
Atoms (fractional coordinates):
1 Sr 0.0889 0.0889 0.0889
2 Sr 0.9111 0.9111 0.9111
3 W 0.3333 0.3333 0.3333
4 W 0.6667 0.6667 0.6667



Entry 4
Density functional theory data (PBE) for a relaxed SrW crystal.

Unit cell a=5.6719 b=5.6719 c=8.0930 alpha=90.00 beta=90.00 gamma=120.00
Atoms (fractional coordinates):
1 Sr 0.0000 0.0000 0.2500
2 Sr 0.0000 0.0000 0.7500
3 Sr 0.3333 0.6667 0.2500
4 Sr 0.6667 0.3333 0.7500
5 W 0.3333 0.6667 0.6121
6 W 0.3333 0.6667 0.8879
7 W 0.6667 0.3333 0.1121
8 W 0.6667 0.3333 0.3879



Short version: entry 2 is the least stable of them.



Entry 1
Density functional theory data (PBE) for a relaxed Sr3W crystal.

Unit cell a=5.9371 b=5.9371 c=5.9371 alpha=90.00 beta=90.00 gamma=90.00
Atoms (fractional coordinates):
1 Sr 0.0000 0.0000 0.5000
2 Sr 0.0000 0.5000 0.0000
3 Sr 0.5000 0.0000 0.0000
4 W 0.0000 0.0000 0.0000



Entry 2
Density functional theory data (PBE) for a relaxed Sr3W crystal.

Unit cell a=5.8451 b=5.8451 c=5.8451 alpha=60.00 beta=60.00 gamma=60.00
Atoms (fractional coordinates):
1 Sr 0.0000 0.0000 0.0000
2 Sr 0.2500 0.2500 0.2500
3 Sr 0.7500 0.7500 0.7500
4 W 0.5000 0.5000 0.5000



Entry 3
Density functional theory data (PBE) for a relaxed Sr3W crystal.

Unit cell a=3.9062 b=3.9062 c=10.1523 alpha=90.00 beta=90.00 gamma=90.00
Atoms (fractional coordinates):
1 Sr 0.0000 0.0000 0.0000
2 Sr 0.5000 0.5000 0.3170
3 Sr 0.5000 0.5000 0.6830
4 W 0.0000 0.0000 0.5000



Entry 4
Density functional theory data (PBE) for a relaxed Sr3W crystal.

Unit cell a=12.2445 b=12.2445 c=12.2445 alpha=17.85 beta=17.85 gamma=17.85
Atoms (fractional coordinates):
1 Sr 0.0000 0.0000 0.0000
2 Sr 0.2312 0.2312 0.2312
3 Sr 0.7688 0.7688 0.7688
4 W 0.5000 0.5000 0.5000



Short version: entry 1 is the least stable of them.



Entry 1
Density functional theory data (PBE) for a relaxed Sr3W crystal.

Unit cell a=9.0221 b=9.0221 c=3.9627 alpha=90.00 beta=90.00 gamma=91.15
Atoms (fractional coordinates):
1 Sr 0.1516 0.8484 0.7500
2 Sr 0.1794 0.4198 0.7500
3 Sr 0.4198 0.1794 0.2500
4 Sr 0.5802 0.8206 0.7500
5 Sr 0.8206 0.5802 0.2500
6 Sr 0.8484 0.1516 0.2500
7 W 0.4397 0.5603 0.2500
8 W 0.5603 0.4397 0.7500



Entry 2
Density functional theory data (PBE) for a relaxed Sr3W crystal.

Unit cell a=7.6416 b=7.6416 c=5.7312 alpha=90.00 beta=90.00 gamma=120.00
Atoms (fractional coordinates):
1 Sr 0.1795 0.3589 0.2500
2 Sr 0.1795 0.8205 0.2500
3 Sr 0.3589 0.1795 0.7500
4 Sr 0.6411 0.8205 0.2500
5 Sr 0.8205 0.1795 0.7500
6 Sr 0.8205 0.6411 0.7500
7 W 0.3333 0.6667 0.7500
8 W 0.6667 0.3333 0.2500



Entry 3
Density functional theory data (PBE) for a relaxed Sr3W crystal.

Unit cell a=3.7878 b=3.7878 c=12.1043 alpha=90.00 beta=90.00 gamma=120.00
Atoms (fractional coordinates):
1 Sr 0.0000 0.0000 0.0000
2 Sr 0.3333 0.6667 0.3060
3 Sr 0.3333 0.6667 0.6940
4 W 0.0000 0.0000 0.5000



Entry 4
Density functional theory data (PBE) for a relaxed Sr3W crystal.

Unit cell a=5.8846 b=7.4801 c=6.5267 alpha=90.00 beta=90.00 gamma=90.00
Atoms (fractional coordinates):
1 Sr 0.2500 0.9999 0.1722
2 Sr 0.2500 0.2500 0.6292
3 Sr 0.2500 0.5001 0.1722
4 Sr 0.7500 0.0001 0.8278
5 Sr 0.7500 0.4999 0.8278
6 Sr 0.7500 0.7500 0.3708
7 W 0.2500 0.7500 0.6933
8 W 0.7500 0.2500 0.3067



Short version: entry 3 is the least stable of them.